Density functional theory data (PBE-GGA) for a geometry-optimized Rb2OsPtBr6 structure.

Cell and atoms, written as extended XYZ:
```
10
Lattice="-3.659 3.659 5.756 3.659 -3.659 5.756 3.659 3.659 -5.756" Properties=species:S:1:pos:R:3 pbc="T T T"
Rb 3.659 0.000 2.878
Rb 0.000 3.659 2.878
Os 0.000 0.000 0.000
Pt 0.000 0.000 5.756
Br 0.000 0.000 2.536
Br 1.832 1.832 0.000
Br 1.827 -1.827 5.756
Br -1.827 1.827 5.756
Br 1.827 1.827 5.756
Br 0.000 0.000 8.976
```

Values from the calculation:
ΔE_f (raw): -526 meV/atom